1.
The following is a DFT calculation (GGA-PBE) of an optimized crystal structure of Sm3Se2N2.

Computed properties:
* volume: 22.5 Å³/atom
* density of states at the Fermi level: 1.9 states/eV/f.u.
* E_form (uncorrected): -1.4576 eV per atom
* final energy: -0.252 hartree per atom

a b c (Å): 6.544 7.365 7.305
angles (deg): 90.00 116.30 90.00
Space group P2_1/c (No. 14)
One atom of each set of equivalent atoms:
1 Sm 0.000 0.000 0.000
2 Sm 0.385 0.110 0.759
3 Se 0.182 0.655 0.913
4 N 0.345 0.119 0.066

***

2.
The following is a DFT calculation (GGA-PBE) of an optimized crystal structure of PmSm3Sb.

Computed properties:
* volume: 33.7 Å³/atom
* density of states at the Fermi level: 4.7 states/eV/f.u.
* E_form (uncorrected): 0.2428 eV per atom
* final energy: -0.160 hartree per atom

a b c (Å): 8.231 15.517 5.280
angles (deg): 90.00 90.00 90.00
Space group Cmmm (No. 65)
One atom of each set of equivalent atoms:
1 Pm 0.000 0.092 0.000
2 Sm 0.000 0.158 0.500
3 Sm 0.174 0.500 0.000
4 Sm 0.250 0.250 0.000
5 Sb 0.000 0.362 0.500

***

3.
The following is a DFT calculation (GGA-PBE) of an optimized crystal structure of ScMnRe.

Computed properties:
* volume: 15.9 Å³/atom
* density of states at the Fermi level: 2.4 states/eV/f.u.
* energy relative to the elements: -0.240 eV/atom
* final energy: -0.351 hartree per atom

a b c (Å): 5.140 5.196 7.129
angles (deg): 90.00 90.00 90.00
Space group Imma (No. 74)
One atom of each set of equivalent atoms:
1 Sc 0.000 0.250 0.126
2 Mn 0.000 0.000 0.500
3 Re 0.250 0.250 0.750

***

4.
The following is a DFT calculation (GGA-PBE) of an optimized crystal structure of Na2BiH.

Computed properties:
* volume: 23.8 Å³/atom
* final energy: -0.097 hartree per atom

a b c (Å): 6.129 6.669 10.413
angles (deg): 90.14 97.41 115.45
Space group P-1 (No. 2)
One atom of each set of equivalent atoms:
1 Na 0.158 0.132 0.134
2 Na 0.175 0.684 0.366
3 Na 0.271 0.674 0.999
4 Na 0.274 0.207 0.455
5 Bi 0.284 0.847 0.701
6 Bi 0.342 0.355 0.766
7 H 0.036 0.255 0.941
8 H 0.443 0.545 0.370

***

5.
The following is a DFT calculation (GGA-PBE) of an optimized crystal structure of CsMgCu2.

Computed properties:
* volume: 31.4 Å³/atom
* density of states at the Fermi level: 2.1 states/eV/f.u.
* energy relative to the elements: 0.396 eV/atom
* final energy: -0.083 hartree per atom

a b c (Å): 5.279 5.279 18.059
angles (deg): 90.00 90.00 90.00
Space group I4_1/amd (No. 141, origin choice 2)
One atom of each set of equivalent atoms:
1 Cs 0.000 0.250 0.375
2 Mg 0.000 0.250 0.875
3 Cu 0.000 0.000 0.000

***

6.
The following is a DFT calculation (GGA-PBE) of an optimized crystal structure of KSmAgTe3.

Computed properties:
* volume: 34.6 Å³/atom
* density of states at the Fermi level: 4.5 states/eV/f.u.
* E_form (uncorrected): -0.9108 eV per atom
* final energy: -0.144 hartree per atom

a b c (Å): 4.374 16.542 11.467
angles (deg): 90.00 90.00 90.00
Space group Cmcm (No. 63)
One atom of each set of equivalent atoms:
1 K 0.000 0.244 0.250
2 Sm 0.000 0.000 0.000
3 Ag 0.000 0.472 0.750
4 Te 0.000 0.081 0.750
5 Te 0.000 0.369 0.557

***

7.
The following is a DFT calculation (GGA-PBE) of an optimized crystal structure of PmSm5Hg.

Computed properties:
* volume: 32.4 Å³/atom
* density of states at the Fermi level: 8.6 states/eV/f.u.
* energy relative to the elements: -0.026 eV/atom
* final energy: -0.151 hartree per atom

a b c (Å): 8.848 8.409 12.420
angles (deg): 90.00 101.25 90.00
Space group C2/c (No. 15)
One atom of each set of equivalent atoms:
1 Pm 0.000 0.142 0.250
2 Sm 0.000 0.468 0.750
3 Sm 0.149 0.135 0.570
4 Sm 0.218 0.168 0.866
5 Hg 0.000 0.500 0.000

***

8.
The following is a DFT calculation (GGA-PBE) of an optimized crystal structure of LaTi2CoN.

Computed properties:
* volume: 16.9 Å³/atom
* density of states at the Fermi level: 4.7 states/eV/f.u.
* E_form (uncorrected): -0.4771 eV per atom
* final energy: -0.283 hartree per atom

a b c (Å): 4.052 4.052 5.145
angles (deg): 90.00 90.00 90.00
Space group P4/mmm (No. 123)
One atom of each set of equivalent atoms:
1 La 0.000 0.000 0.000
2 Ti 0.000 0.500 0.500
3 Co 0.500 0.500 0.000
4 N 0.000 0.000 0.500

***

9.
The following is a DFT calculation (GGA-PBE) of an optimized crystal structure of MgTc2As2.

Computed properties:
* volume: 18.3 Å³/atom
* density of states at the Fermi level: 3.1 states/eV/f.u.
* energy relative to the elements: 0.102 eV/atom
* final energy: -0.229 hartree per atom

a b c (Å): 4.201 4.201 10.359
angles (deg): 90.00 90.00 90.00
Space group I4/mmm (No. 139)
One atom of each set of equivalent atoms:
1 Mg 0.000 0.000 0.000
2 Tc 0.000 0.000 0.382
3 As 0.000 0.500 0.250

***

10.
The following is a DFT calculation (GGA-PBE) of an optimized crystal structure of LaPm2TmS4.

Computed properties:
* volume: 23.0 Å³/atom
* density of states at the Fermi level: 4.7 states/eV/f.u.
* E_form (uncorrected): -2.0287 eV per atom
* final energy: -0.237 hartree per atom

a b c (Å): 6.948 3.974 7.035
angles (deg): 90.00 108.91 90.00
Space group P2/m (No. 10)
One atom of each set of equivalent atoms:
1 La 0.000 0.000 0.000
2 Pm 0.500 0.000 0.500
3 Pm 0.500 0.500 0.000
4 Tm 0.000 0.500 0.500
5 S 0.239 0.000 0.734
6 S 0.248 0.500 0.262

***

11.
The following is a DFT calculation (GGA-PBE) of an optimized crystal structure of LaHo2Ni.

Computed properties:
* volume: 29.2 Å³/atom
* density of states at the Fermi level: 7.7 states/eV/f.u.
* energy relative to the elements: 0.024 eV/atom
* final energy: -0.182 hartree per atom

a b c (Å): 3.5844 3.5844 31.4811
angles (deg): 90.00 90.00 120.00
Space group R-3m (No. 166, hexagonal axes)
One atom of each set of equivalent atoms:
1 La 0.0000 0.0000 0.0000
2 Ho 0.0000 0.0000 0.1123
3 Ni 0.0000 0.0000 0.5000

***

12.
The following is a DFT calculation (GGA-PBE) of an optimized crystal structure of Pu2BiSb.

Computed properties:
* volume: 31.8 Å³/atom
* density of states at the Fermi level: 26.2 states/eV/f.u.
* E_form (uncorrected): -0.4518 eV per atom
* final energy: -0.353 hartree per atom

a b c (Å): 8.958 8.961 7.762
angles (deg): 90.00 125.22 90.00
Space group C2/c (No. 15)
One atom of each set of equivalent atoms:
1 Pu 0.247 0.125 0.243
2 Bi 0.000 0.375 0.250
3 Sb 0.000 0.124 0.750

***

What did the twelfth record say?
The following is a DFT calculation (GGA-PBE) of an optimized crystal structure of Pu2BiSb.

Computed properties:
* volume: 31.8 Å³/atom
* density of states at the Fermi level: 26.2 states/eV/f.u.
* E_form (uncorrected): -0.4518 eV per atom
* final energy: -0.353 hartree per atom

a b c (Å): 8.958 8.961 7.762
angles (deg): 90.00 125.22 90.00
Space group C2/c (No. 15)
One atom of each set of equivalent atoms:
1 Pu 0.247 0.125 0.243
2 Bi 0.000 0.375 0.250
3 Sb 0.000 0.124 0.750

***

- Which value of volume does entry 8 give?
  16.9 Å³/atom

***

- Which value of final energy does entry 1 give?
  -0.252 hartree per atom